CsSn2Au: relaxed, GGA-PBEsol.

Output
energy relative to the elements: 247 meV per atom
space-group type: No. 225

a b c (Å): 7.5600 7.5600 7.5600
angles (deg): 90.00 90.00 90.00
Fractional coordinates of all 16 atoms:
Cs 0.0000 0.0000 0.0000
Cs 0.0000 0.5000 0.5000
Cs 0.5000 0.0000 0.5000
Cs 0.5000 0.5000 0.0000
Sn 0.2500 0.2500 0.2500
Sn 0.2500 0.2500 0.7500
Sn 0.2500 0.7500 0.2500
Sn 0.2500 0.7500 0.7500
Sn 0.7500 0.2500 0.2500
Sn 0.7500 0.2500 0.7500
Sn 0.7500 0.7500 0.2500
Sn 0.7500 0.7500 0.7500
Au 0.0000 0.0000 0.5000
Au 0.0000 0.5000 0.0000
Au 0.5000 0.0000 0.0000
Au 0.5000 0.5000 0.5000

***

Co5Re: relaxed, GGA-PBEsol.

Output
energy relative to the elements: 38 meV per atom
space-group type: No. 38
distance to the lowest polymorph of the same formula: 0.0389 eV/atom

a b c (Å): 3.9883 2.5355 12.9518
angles (deg): 90.00 90.00 90.00
Fractional coordinates of all 12 atoms:
Co 0.0000 0.0000 0.0000
Co 0.0000 0.0000 0.3251
Co 0.0000 0.0000 0.6622
Co 0.0000 0.5000 0.1622
Co 0.0000 0.5000 0.5000
Co 0.0000 0.5000 0.8251
Co 0.5000 0.0000 0.1115
Co 0.5000 0.0000 0.7696
Co 0.5000 0.5000 0.2696
Co 0.5000 0.5000 0.6115
Re 0.5000 0.0000 0.4392
Re 0.5000 0.5000 0.9392

***

TaRe2Au: relaxed, GGA-PBEsol.

Output
energy relative to the elements: 345 meV per atom
space-group type: No. 123

a b c (Å): 2.6883 2.6883 8.7702
angles (deg): 90.00 90.00 90.00
Fractional coordinates of all 4 atoms:
Ta 0.0000 0.0000 0.0000
Re 0.5000 0.5000 0.2524
Re 0.5000 0.5000 0.7476
Au 0.0000 0.0000 0.5000

***

TcNi2: relaxed, GGA-PBEsol.

Output
energy relative to the elements: 34 meV per atom
space-group type: No. 194
distance to the lowest polymorph of the same formula: 0.0866 eV/atom

a b c (Å): 4.5923 4.5923 14.9513
angles (deg): 90.00 90.00 120.00
Fractional coordinates of all 24 atoms:
Tc 0.0000 0.0000 0.0947
Tc 0.0000 0.0000 0.4053
Tc 0.0000 0.0000 0.5947
Tc 0.0000 0.0000 0.9053
Tc 0.3333 0.6667 0.1571
Tc 0.3333 0.6667 0.3429
Tc 0.6667 0.3333 0.6571
Tc 0.6667 0.3333 0.8429
Ni 0.0000 0.5000 0.0000
Ni 0.0000 0.5000 0.5000
Ni 0.1634 0.3268 0.7500
Ni 0.1634 0.8366 0.7500
Ni 0.3268 0.1634 0.2500
Ni 0.3333 0.6667 0.6250
Ni 0.3333 0.6667 0.8750
Ni 0.5000 0.0000 0.0000
Ni 0.5000 0.0000 0.5000
Ni 0.5000 0.5000 0.0000
Ni 0.5000 0.5000 0.5000
Ni 0.6667 0.3333 0.1250
Ni 0.6667 0.3333 0.3750
Ni 0.6732 0.8366 0.7500
Ni 0.8366 0.1634 0.2500
Ni 0.8366 0.6732 0.2500